## Cs2TiHgI6 (GGA-PBE)

Data for a relaxed Cs2TiHgI6 crystal.

CIF file:
```
data_Cs2TiHgI6
_cell_length_a 12.4599
_cell_length_b 12.4599
_cell_length_c 12.4599
_cell_angle_alpha 90.00
_cell_angle_beta 90.00
_cell_angle_gamma 90.00
_symmetry_space_group_name_H-M 'F m -3 m'
_symmetry_Int_Tables_number 225
_symmetry_space_group_name_Hall '-F 4 2 3'
loop_
_atom_site_label
_atom_site_fract_x
_atom_site_fract_y
_atom_site_fract_z
Cs1 0.2500 0.2500 0.2500
Ti1 0.0000 0.0000 0.0000
Hg1 0.0000 0.0000 0.5000
I1 0.0000 0.0000 0.2232
```

The density of states at the Fermi level comes out at 0.000 states/eV per atom. The calculation puts the energy above the most stable polymorph in this dataset at 10 meV/atom.

## Cs2TiHg2I4 (GGA-PBE)

Data for a relaxed Cs2TiHg2I4 crystal.

CIF file:
```
data_Cs2TiHg2I4
_cell_length_a 9.0856
_cell_length_b 9.0856
_cell_length_c 9.2380
_cell_angle_alpha 90.00
_cell_angle_beta 90.00
_cell_angle_gamma 90.00
_symmetry_space_group_name_H-M 'I 4/m m m'
_symmetry_Int_Tables_number 139
_symmetry_space_group_name_Hall '-I 4 2'
loop_
_atom_site_label
_atom_site_fract_x
_atom_site_fract_y
_atom_site_fract_z
Cs1 0.0000 0.5000 0.2500
Ti1 0.0000 0.0000 0.0000
Hg1 0.0000 0.0000 0.3262
I1 0.2209 0.2209 0.0000
```

The density of states at the Fermi level comes out at 1.159 states/eV per atom.

## Cs2TiHgI6 (GGA-PBE)

Data for a relaxed Cs2TiHgI6 crystal.

CIF file:
```
data_Cs2TiHgI6
_cell_length_a 8.2543
_cell_length_b 8.2543
_cell_length_c 55.8068
_cell_angle_alpha 90.00
_cell_angle_beta 90.00
_cell_angle_gamma 120.00
_symmetry_space_group_name_H-M 'R -3 m'
_symmetry_Int_Tables_number 166
_symmetry_space_group_name_Hall '-R 3 2"'
loop_
_atom_site_label
_atom_site_fract_x
_atom_site_fract_y
_atom_site_fract_z
Cs1 0.0000 0.0000 0.1396
Cs2 0.0000 0.0000 0.3074
Ti1 0.0000 0.0000 0.0000
Ti2 0.0000 0.0000 0.5000
Hg1 0.0000 0.0000 0.4146
I1 0.0173 0.5086 0.6957
I2 0.0176 0.5088 0.1376
```

The calculation puts the energy above the most stable polymorph in this dataset at 0 meV/atom.

## Cs2TlHgI4 (GGA-PBE)

Data for a relaxed Cs2TlHgI4 crystal.

CIF file:
```
data_Cs2TlHgI4
_cell_length_a 6.8562
_cell_length_b 17.6410
_cell_length_c 29.2612
_cell_angle_alpha 90.00
_cell_angle_beta 90.00
_cell_angle_gamma 90.00
_symmetry_space_group_name_H-M 'F d d d'
_symmetry_Int_Tables_number 70
loop_
_symmetry_equiv_pos_as_xyz
'x,y,z'
'-x,-y,-z'
'-x+1/4,-y+1/4,z'
'x+1/4,y+1/4,-z'
'x,-y+1/4,-z+1/4'
'-x,y+1/4,z+1/4'
'-x+1/4,y,-z+1/4'
'x+1/4,-y,z+1/4'
'x,y+1/2,z+1/2'
'-x,-y+1/2,-z+1/2'
'-x+1/4,-y+3/4,z+1/2'
'x+1/4,y+3/4,-z+1/2'
'x,-y+3/4,-z+3/4'
'-x,y+3/4,z+3/4'
'-x+1/4,y+1/2,-z+3/4'
'x+1/4,-y+1/2,z+3/4'
'x+1/2,y,z+1/2'
'-x+1/2,-y,-z+1/2'
'-x+3/4,-y+1/4,z+1/2'
'x+3/4,y+1/4,-z+1/2'
'x+1/2,-y+1/4,-z+3/4'
'-x+1/2,y+1/4,z+3/4'
'-x+3/4,y,-z+3/4'
'x+3/4,-y,z+3/4'
'x+1/2,y+1/2,z'
'-x+1/2,-y+1/2,-z'
'-x+3/4,-y+3/4,z'
'x+3/4,y+3/4,-z'
'x+1/2,-y+3/4,-z+1/4'
'-x+1/2,y+3/4,z+1/4'
'-x+3/4,y+1/2,-z+1/4'
'x+3/4,-y+1/2,z+1/4'
loop_
_atom_site_label
_atom_site_fract_x
_atom_site_fract_y
_atom_site_fract_z
Cs1 0.1250 0.1250 0.3110
Tl1 0.1250 0.1250 0.1250
Hg1 0.1250 0.1250 0.6250
I1 0.1159 0.0064 0.4311
```

The density of states at the Fermi level comes out at 0.677 states/eV per atom.

## CsTlHg2I (GGA-PBE)

Data for a relaxed CsTlHg2I crystal.

CIF file:
```
data_CsTlHg2I
_cell_length_a 5.9146
_cell_length_b 5.9146
_cell_length_c 6.9260
_cell_angle_alpha 90.00
_cell_angle_beta 90.00
_cell_angle_gamma 90.00
_symmetry_space_group_name_H-M 'P 4/m m m'
_symmetry_Int_Tables_number 123
_symmetry_space_group_name_Hall '-P 4 2'
loop_
_atom_site_label
_atom_site_fract_x
_atom_site_fract_y
_atom_site_fract_z
Cs1 0.0000 0.0000 0.0000
Tl1 0.5000 0.5000 0.5000
Hg1 0.0000 0.5000 0.5000
I1 0.5000 0.5000 0.0000
```

The density of states at the Fermi level comes out at 0.227 states/eV per atom.

## Cs2TlHgI6 (GGA-PBE)

Data for a relaxed Cs2TlHgI6 crystal.

CIF file:
```
data_Cs2TlHgI6
_cell_length_a 12.3361
_cell_length_b 12.3361
_cell_length_c 12.3361
_cell_angle_alpha 90.00
_cell_angle_beta 90.00
_cell_angle_gamma 90.00
_symmetry_space_group_name_H-M 'F m -3 m'
_symmetry_Int_Tables_number 225
_symmetry_space_group_name_Hall '-F 4 2 3'
loop_
_atom_site_label
_atom_site_fract_x
_atom_site_fract_y
_atom_site_fract_z
Cs1 0.2500 0.2500 0.2500
Tl1 0.0000 0.0000 0.0000
Hg1 0.0000 0.0000 0.5000
I1 0.0000 0.0000 0.2545
```

The density of states at the Fermi level comes out at 0.137 states/eV per atom.

## CsTlHg2I6 (GGA-PBE)

Data for a relaxed CsTlHg2I6 crystal.

CIF file:
```
data_CsTlHg2I6
_cell_length_a 12.4012
_cell_length_b 18.3512
_cell_length_c 10.5316
_cell_angle_alpha 90.00
_cell_angle_beta 101.88
_cell_angle_gamma 90.00
_symmetry_space_group_name_H-M 'C 1 2/c 1'
_symmetry_Int_Tables_number 15
loop_
_symmetry_equiv_pos_as_xyz
'x,y,z'
'-x,-y,-z'
'-x,y,-z+1/2'
'x,-y,z+1/2'
'x+1/2,y+1/2,z'
'-x+1/2,-y+1/2,-z'
'-x+1/2,y+1/2,-z+1/2'
'x+1/2,-y+1/2,z+1/2'
loop_
_atom_site_label
_atom_site_fract_x
_atom_site_fract_y
_atom_site_fract_z
Cs1 0.0000 0.0648 0.2500
Tl1 0.0000 0.4861 0.7500
Hg1 0.1715 0.3439 0.4625
I1 0.0482 0.3744 0.0375
I2 0.2139 0.0265 0.5800
I3 0.2188 0.2258 0.2959
```

The density of states at the Fermi level comes out at 0.000 states/eV per atom.

## Cs2TlHgI6 (GGA-PBE)

Data for a relaxed Cs2TlHgI6 crystal.

CIF file:
```
data_Cs2TlHgI6
_cell_length_a 8.6509
_cell_length_b 8.7241
_cell_length_c 15.1037
_cell_angle_alpha 90.00
_cell_angle_beta 124.84
_cell_angle_gamma 90.00
_symmetry_space_group_name_H-M 'P 1 21/c 1'
_symmetry_Int_Tables_number 14
loop_
_symmetry_equiv_pos_as_xyz
'x,y,z'
'-x,-y,-z'
'-x,y+1/2,-z+1/2'
'x,-y+1/2,z+1/2'
loop_
_atom_site_label
_atom_site_fract_x
_atom_site_fract_y
_atom_site_fract_z
Cs1 0.2388 0.0387 0.2496
Tl1 0.5000 0.0000 0.0000
Hg1 0.0000 0.0000 0.5000
I1 0.1927 0.2260 0.9775
I2 0.2511 0.7142 0.9776
I3 0.2878 0.5022 0.2450
```

The density of states at the Fermi level comes out at 0.188 states/eV per atom.

## Cs2Tl3HgI6 (GGA-PBE)

Data for a relaxed Cs2Tl3HgI6 crystal.

CIF file:
```
data_Cs2Tl3HgI6
_cell_length_a 8.8556
_cell_length_b 15.2712
_cell_length_c 9.0881
_cell_angle_alpha 90.00
_cell_angle_beta 109.68
_cell_angle_gamma 90.00
_symmetry_space_group_name_H-M 'C 1 2/m 1'
_symmetry_Int_Tables_number 12
loop_
_symmetry_equiv_pos_as_xyz
'x,y,z'
'-x,-y,-z'
'-x,y,-z'
'x,-y,z'
'x+1/2,y+1/2,z'
'-x+1/2,-y+1/2,-z'
'-x+1/2,y+1/2,-z'
'x+1/2,-y+1/2,z'
loop_
_atom_site_label
_atom_site_fract_x
_atom_site_fract_y
_atom_site_fract_z
Cs1 0.0000 0.1620 0.0000
Tl1 0.0000 0.0000 0.5000
Tl2 0.0000 0.3270 0.5000
Hg1 0.0000 0.5000 0.0000
I1 0.2224 0.5000 0.7196
I2 0.2352 0.3462 0.2559
```

The density of states at the Fermi level comes out at 0.567 states/eV per atom.

## Cs2TlHgI5 (GGA-PBE)

Data for a relaxed Cs2TlHgI5 crystal.

CIF file:
```
data_Cs2TlHgI5
_cell_length_a 4.9254
_cell_length_b 22.9587
_cell_length_c 16.3842
_cell_angle_alpha 90.00
_cell_angle_beta 90.00
_cell_angle_gamma 90.00
_symmetry_space_group_name_H-M 'C m c 21'
_symmetry_Int_Tables_number 36
loop_
_symmetry_equiv_pos_as_xyz
'x,y,z'
'-x,-y,z+1/2'
'-x,y,z'
'x,-y,z+1/2'
'x+1/2,y+1/2,z'
'-x+1/2,-y+1/2,z+1/2'
'-x+1/2,y+1/2,z'
'x+1/2,-y+1/2,z+1/2'
loop_
_atom_site_label
_atom_site_fract_x
_atom_site_fract_y
_atom_site_fract_z
Cs1 0.0000 0.1255 0.0000
Cs2 0.0000 0.1333 0.6517
Tl1 0.0000 0.2010 0.3572
Hg1 0.0000 0.4447 0.7206
I1 0.0000 0.0255 0.3125
I2 0.0000 0.2940 0.0001
I3 0.0000 0.3242 0.6862
I4 0.0000 0.3443 0.3280
I5 0.0000 0.4923 0.0724
```

## CsTlHgI4 (GGA-PBE)

Data for a relaxed CsTlHgI4 crystal.

CIF file:
```
data_CsTlHgI4
_cell_length_a 8.2522
_cell_length_b 8.3938
_cell_length_c 10.4617
_cell_angle_alpha 90.00
_cell_angle_beta 107.96
_cell_angle_gamma 90.00
_symmetry_space_group_name_H-M 'P 1 21/m 1'
_symmetry_Int_Tables_number 11
loop_
_symmetry_equiv_pos_as_xyz
'x,y,z'
'-x,-y,-z'
'-x,y+1/2,-z'
'x,-y+1/2,z'
loop_
_atom_site_label
_atom_site_fract_x
_atom_site_fract_y
_atom_site_fract_z
Cs1 0.2445 0.2500 0.0570
Tl1 0.2341 0.2500 0.5554
Hg1 0.2194 0.7500 0.3195
I1 0.0127 0.5131 0.7335
I2 0.4075 0.7500 0.1317
I3 0.4337 0.7500 0.5877
```

The density of states at the Fermi level comes out at 0.000 states/eV per atom.

## CsTmHgI6 (GGA-PBE)

Data for a relaxed CsTmHgI6 crystal.

CIF file:
```
data_CsTmHgI6
_cell_length_a 7.8872
_cell_length_b 7.8982
_cell_length_c 8.6344
_cell_angle_alpha 89.97
_cell_angle_beta 89.88
_cell_angle_gamma 60.09
_symmetry_space_group_name_H-M 'P 1'
_symmetry_Int_Tables_number 1
loop_
_symmetry_equiv_pos_as_xyz
'x,y,z'
loop_
_atom_site_label
_atom_site_fract_x
_atom_site_fract_y
_atom_site_fract_z
Cs1 0.0000 0.0000 0.0000
Tm1 0.3335 0.3328 0.5000
Hg1 0.6666 0.6671 0.5001
I1 0.0063 0.3735 0.7054
I2 0.0064 0.6206 0.2958
I3 0.3728 0.0067 0.2952
I4 0.3733 0.6205 0.7044
I5 0.6202 0.3737 0.2947
I6 0.6206 0.0068 0.7045
```

## Cs2TmHgI6 (GGA-PBE)

Data for a relaxed Cs2TmHgI6 crystal.

CIF file:
```
data_Cs2TmHgI6
_cell_length_a 8.8173
_cell_length_b 12.4738
_cell_length_c 8.8228
_cell_angle_alpha 90.00
_cell_angle_beta 90.00
_cell_angle_gamma 90.00
_symmetry_space_group_name_H-M 'P m m n'
_symmetry_Int_Tables_number 59
loop_
_symmetry_equiv_pos_as_xyz
'x,y,z'
'-x,-y,-z'
'-x+1/2,-y+1/2,z'
'x+1/2,y+1/2,-z'
'x+1/2,-y,-z'
'-x+1/2,y,z'
'-x,y+1/2,-z'
'x,-y+1/2,z'
loop_
_atom_site_label
_atom_site_fract_x
_atom_site_fract_y
_atom_site_fract_z
Cs1 0.2500 0.9998 0.2465
Tm1 0.2500 0.2500 0.7531
Hg1 0.2500 0.7500 0.7460
I1 0.0093 0.2500 0.5131
I2 0.0099 0.2500 0.9937
I3 0.2500 0.0097 0.7540
```

The density of states at the Fermi level comes out at 0.430 states/eV per atom.

## Cs2UHgI6 (GGA-PBE)

Data for a relaxed Cs2UHgI6 crystal.

CIF file:
```
data_Cs2UHgI6
_cell_length_a 8.5022
_cell_length_b 12.9092
_cell_length_c 11.3745
_cell_angle_alpha 90.00
_cell_angle_beta 90.00
_cell_angle_gamma 90.00
_symmetry_space_group_name_H-M 'P m m n'
_symmetry_Int_Tables_number 59
loop_
_symmetry_equiv_pos_as_xyz
'x,y,z'
'-x,-y,-z'
'-x+1/2,-y+1/2,z'
'x+1/2,y+1/2,-z'
'x+1/2,-y,-z'
'-x+1/2,y,z'
'-x,y+1/2,-z'
'x,-y+1/2,z'
loop_
_atom_site_label
_atom_site_fract_x
_atom_site_fract_y
_atom_site_fract_z
Cs1 0.2500 0.0338 0.1667
U1 0.2500 0.7500 0.8292
Hg1 0.2500 0.2500 0.6530
I1 0.0041 0.2500 0.3537
I2 0.0059 0.7500 0.0233
I3 0.2500 0.5149 0.8273
```

The density of states at the Fermi level comes out at 0.559 states/eV per atom.

## CsV2HgI8 (GGA-PBE)

Data for a relaxed CsV2HgI8 crystal.

CIF file:
```
data_CsV2HgI8
_cell_length_a 7.9551
_cell_length_b 7.9551
_cell_length_c 33.9606
_cell_angle_alpha 90.00
_cell_angle_beta 90.00
_cell_angle_gamma 120.00
_symmetry_space_group_name_H-M 'R -3'
_symmetry_Int_Tables_number 148
_symmetry_space_group_name_Hall '-R 3'
loop_
_atom_site_label
_atom_site_fract_x
_atom_site_fract_y
_atom_site_fract_z
Cs1 0.0000 0.0000 0.0000
V1 0.0000 0.0000 0.2604
Hg1 0.0000 0.0000 0.5000
I1 0.0000 0.0000 0.3359
I2 0.0054 0.3998 0.4313
```

The density of states at the Fermi level comes out at 1.046 states/eV per atom.

## Cs2VHgI6 (GGA-PBE)

Data for a relaxed Cs2VHgI6 crystal.

CIF file:
```
data_Cs2VHgI6
_cell_length_a 8.4711
_cell_length_b 8.4711
_cell_length_c 12.0194
_cell_angle_alpha 90.00
_cell_angle_beta 90.00
_cell_angle_gamma 90.00
_symmetry_space_group_name_H-M 'I 4/m m m'
_symmetry_Int_Tables_number 139
_symmetry_space_group_name_Hall '-I 4 2'
loop_
_atom_site_label
_atom_site_fract_x
_atom_site_fract_y
_atom_site_fract_z
Cs1 0.0000 0.5000 0.2500
V1 0.0000 0.0000 0.0000
Hg1 0.0000 0.0000 0.5000
I1 0.0000 0.0000 0.2331
I2 0.2345 0.2345 0.0000
```

The density of states at the Fermi level comes out at 1.258 states/eV per atom.

## CsYHgI6 (GGA-PBE)

Data for a relaxed CsYHgI6 crystal.

CIF file:
```
data_CsYHgI6
_cell_length_a 7.7586
_cell_length_b 14.6844
_cell_length_c 8.3795
_cell_angle_alpha 90.00
_cell_angle_beta 97.42
_cell_angle_gamma 90.00
_symmetry_space_group_name_H-M 'C 1 2 1'
_symmetry_Int_Tables_number 5
loop_
_symmetry_equiv_pos_as_xyz
'x,y,z'
'-x,y,-z'
'x+1/2,y+1/2,z'
'-x+1/2,y+1/2,-z'
loop_
_atom_site_label
_atom_site_fract_x
_atom_site_fract_y
_atom_site_fract_z
Cs1 0.0000 0.0000 0.0000
Y1 0.0000 0.3333 0.5000
Hg1 0.0000 0.6339 0.5000
I1 0.1639 0.4850 0.3216
I2 0.2099 0.1990 0.3009
I3 0.2316 0.7937 0.2240
```

The density of states at the Fermi level comes out at 0.000 states/eV per atom.

## CsZnHgI2 (GGA-PBE)

Data for a relaxed CsZnHgI2 crystal.

CIF file:
```
data_CsZnHgI2
_cell_length_a 6.1741
_cell_length_b 6.1741
_cell_length_c 5.2870
_cell_angle_alpha 90.00
_cell_angle_beta 90.00
_cell_angle_gamma 90.00
_symmetry_space_group_name_H-M 'P 4/m m m'
_symmetry_Int_Tables_number 123
_symmetry_space_group_name_Hall '-P 4 2'
loop_
_atom_site_label
_atom_site_fract_x
_atom_site_fract_y
_atom_site_fract_z
Cs1 0.0000 0.0000 0.0000
Zn1 0.5000 0.5000 0.5000
Hg1 0.5000 0.5000 0.0000
I1 0.0000 0.5000 0.5000
```

The density of states at the Fermi level comes out at 0.369 states/eV per atom.

## Cs2Zn2HgI6 (GGA-PBE)

Data for a relaxed Cs2Zn2HgI6 crystal.

CIF file:
```
data_Cs2Zn2HgI6
_cell_length_a 7.0367
_cell_length_b 8.1570
_cell_length_c 10.4246
_cell_angle_alpha 112.25
_cell_angle_beta 94.66
_cell_angle_gamma 90.11
_symmetry_space_group_name_H-M 'P -1'
_symmetry_Int_Tables_number 2
loop_
_symmetry_equiv_pos_as_xyz
'x,y,z'
'-x,-y,-z'
loop_
_atom_site_label
_atom_site_fract_x
_atom_site_fract_y
_atom_site_fract_z
Cs1 0.2335 0.4771 0.2541
Zn1 0.1608 0.0102 0.6466
Hg1 0.0000 0.0000 0.0000
I1 0.2278 0.0075 0.3921
I2 0.2620 0.7132 0.6654
I3 0.2741 0.3114 0.8403
```

The density of states at the Fermi level comes out at 0.000 states/eV per atom.

no.,energy (eV per atom),uncorrected formation energy (eV/atom)
1,-2.879,-0.96
2,-2.669,-0.85
3,-2.888,-0.97
4,-2.170,-0.85
5,-1.518,-0.44
6,-2.174,-0.81
7,-1.927,-0.61
8,-2.175,-0.81
9,-2.349,-0.82
10,-2.286,-0.94
11,-2.158,-0.77
12,-2.684,-1.03
13,-2.741,-1.16
14,-3.307,-1.05
15,-3.202,-0.55
16,-2.829,-0.79
17,-2.931,-1.05
18,-1.782,-0.68
19,-2.158,-0.90